No. 1
## Pr2P3Au (GGA-PBE)

Data for Pr2P3Au after structural relaxation.

Values from the calculation:
Formation energy, meV per atom: -1023

abc: 7.7809 4.2122 16.3933
angles: 90.00 90.00 90.00
Space group Pnma (No. 62)
One atom of each set of equivalent atoms:
Pr  0.0968  0.2500  0.2043 [4 per cell]
Pr  0.2346  0.2500  0.4774 [4 per cell]
P  0.0346  0.2500  0.9057 [4 per cell]
P  0.1162  0.7500  0.5890 [4 per cell]
P  0.2007  0.2500  0.7971 [4 per cell]
Au  0.0023  0.2500  0.6470 [4 per cell]

---

No. 2
## CaHg4P (GGA-PBE)

Data for CaHg4P after structural relaxation.

Values from the calculation:
Formation energy, meV per atom: 95

abc: 8.4571 8.4571 8.4571
angles: 90.00 90.00 90.00
Space group F-43m (No. 216)
One atom of each set of equivalent atoms:
Ca  0.0000  0.0000  0.0000 [4 per cell]
Hg  0.1244  0.1244  0.6244 [16 per cell]
P  0.2500  0.2500  0.2500 [4 per cell]

---

No. 3
## AlRh5 (GGA-PBE)

Data for AlRh5 after structural relaxation.

Values from the calculation:
Formation energy, meV per atom: -288

abc: 2.7826 2.7826 10.8687
angles: 90.00 90.00 90.00
Space group P4/mmm (No. 123)
One atom of each set of equivalent atoms:
Al  0.0000  0.0000  0.0000 [1 per cell]
Rh  0.0000  0.0000  0.3290 [2 per cell]
Rh  0.5000  0.5000  0.1507 [2 per cell]
Rh  0.5000  0.5000  0.5000 [1 per cell]